A relaxed SmThB crystal, computed with GGA-PBE.

Calculated values
D(E_F) = 5.54 states/eV per cell
total energy = -19.3 eV per formula unit
symmetry = Cmcm
M_tot = 0.00 μB per cell

Cell: 3.3306 3.6779 12.0929 Å, 81.25 90.00 90.00°
With the nearest neighbours (Å) after each atom.
Element x y z (fractional)
B (0.7500, 0.4854, 0.0292)  2 B 1.81
B (0.2500, 0.5146, 0.9708)  2 B 1.81
Sm (0.7500, 0.3032, 0.3937)  8 Sm 3.33-3.68
Sm (0.2500, 0.6968, 0.6063)  8 Sm 3.33-3.68
Th (0.7500, 0.0690, 0.8620)  6 B 2.72-2.80
Th (0.2500, 0.9310, 0.1380)  6 B 2.72-2.80



A relaxed SmTiB12 crystal, computed with GGA-PBE.

Calculated values
D(E_F) = 2.42 states/eV per cell
total energy = -95.1 eV per formula unit
symmetry = P4/mmm
M_tot = 1.48 μB per cell

Cell: 4.1012 4.1012 8.1832 Å, 90.00 90.00 90.00°
With the nearest neighbours (Å) after each atom.
Element x y z (fractional)
Sm (0.0000, 0.0000, 0.5000)  24 B 3.01-3.02
Ti (0.0000, 0.0000, 0.0000)  24 B 3.00-3.01
B (0.1990, 0.5000, 0.2476)  5 B 1.63-1.75
B (0.1990, 0.5000, 0.7524)  5 B 1.63-1.75
B (0.5000, 0.5000, 0.3993)  5 B 1.65-1.75
B (0.5000, 0.5000, 0.9015)  5 B 1.61-1.74
B (0.5000, 0.1990, 0.2476)  5 B 1.63-1.75
B (0.5000, 0.1990, 0.7524)  5 B 1.63-1.75
B (0.5000, 0.5000, 0.0985)  5 B 1.61-1.74
B (0.5000, 0.5000, 0.6007)  5 B 1.65-1.75
B (0.5000, 0.8010, 0.2476)  5 B 1.63-1.75
B (0.5000, 0.8010, 0.7524)  5 B 1.63-1.75
B (0.8010, 0.5000, 0.2476)  5 B 1.63-1.75
B (0.8010, 0.5000, 0.7524)  5 B 1.63-1.75